Version A
This record from Alexandria via LeMat-Bulk describes an optimized crystal structure of CdWBr2. The functional is PBE.

The structure in POSCAR format:
```
CdWBr2
1.0
-1.7441 2.0391 3.5566
-2.4392 -2.0212 -0.0374
2.1228 -4.6586 3.7119
Cd Br W
1 2 1
Cartesian
-0.9512 -0.6504 2.6969 Cd
-0.6867 -3.9079 1.9038 Br
0.2119 -6.1118 3.6080 Br
-1.1094 -3.9903 4.5342 W
```



Version B
This record from Alexandria via LeMat-Bulk describes an optimized crystal structure of CdWBr2. The functional is PBE.

The structure in POSCAR format:
```
CdWBr2
1.0
3.2047 0.0000 0.0000
0.0000 4.8408 0.0014
0.0000 2.4060 7.4284
Br W Cd
2 1 1
Cartesian
1.6024 1.5040 2.3867 Br
0.0000 6.3430 6.8692 Br
1.6024 6.3451 4.8570 W
0.0000 3.9250 4.4616 Cd
```



The computed energies, referenced to the most stable structure and given in kJ/mol of atoms, are version A 39.3; version B 0.0.



Version A
This record from Alexandria via LeMat-Bulk describes an optimized crystal structure of Cd3WBr. The functional is PBE.

The structure in POSCAR format:
```
Cd3WBr
1.0
5.5515 0.0000 0.0000
0.0000 5.5515 0.0000
0.0000 0.0000 5.5515
W Br Cd
1 1 3
Cartesian
0.0000 0.0000 0.0000 W
2.7757 2.7757 2.7757 Br
2.7757 0.0000 0.0000 Cd
0.0000 0.0000 2.7757 Cd
0.0000 2.7757 0.0000 Cd
```



Version B
This record from Alexandria via LeMat-Bulk describes an optimized crystal structure of Cd3WBr. The functional is PBE.

The structure in POSCAR format:
```
Cd3WBr
1.0
-1.4909 -5.2005 0.7753
4.1196 -1.6561 -3.1867
3.2673 -0.2849 4.3718
W Br Cd
1 1 3
Cartesian
2.9480 -3.5707 0.9802 W
0.0000 0.0000 0.0000 Br
-0.7454 -2.6002 0.3877 Cd
1.6336 -0.1425 2.1859 Cd
2.0598 -0.8280 -1.5934 Cd
```



The computed energies, referenced to the most stable structure and given in kJ/mol of atoms, are version A 0.0; version B 64.0.



Version A
This record from Alexandria via LeMat-Bulk describes an optimized crystal structure of YCd3Br. The functional is PBE.

The structure in POSCAR format:
```
YCd3Br
1.0
-2.9658 -5.3191 -0.7043
3.8062 -1.5185 -4.5598
3.7818 -2.6432 4.0370
Cd Br Y
3 1 1
Cartesian
1.9031 -0.7592 -2.2799 Cd
-1.4829 -2.6596 -0.3522 Cd
1.8909 -1.3216 2.0185 Cd
2.3111 -4.7404 -0.6136 Br
0.0000 0.0000 0.0000 Y
```



Version B
This record from Alexandria via LeMat-Bulk describes an optimized crystal structure of YCd3Br. The functional is PBE.

The structure in POSCAR format:
```
YCd3Br
1.0
-2.3524 1.6341 4.7094
-0.9186 -5.2604 1.3665
4.8995 -0.2017 2.5174
Y Cd Br
1 3 1
Cartesian
0.8142 -1.9140 4.2966 Y
-1.1762 0.8171 2.3547 Cd
2.4497 -0.1008 1.2587 Cd
-0.4593 -2.6302 0.6832 Cd
0.0000 0.0000 0.0000 Br
```



The computed energies, referenced to the most stable structure and given in kJ/mol of atoms, are version A 0.0; version B 9.2.



Version A
This record from Alexandria via LeMat-Bulk describes an optimized crystal structure of Zn2CdBr. The functional is PBE.

The structure in POSCAR format:
```
Zn2CdBr
1.0
-6.3307 -4.6453 1.4431
-4.2265 -6.7337 -0.7300
-3.5357 -6.5550 2.8758
Zn Cd Br
2 1 1
Cartesian
-0.0370 -0.0471 0.0094 Zn
-7.0094 -8.9199 1.7850 Zn
-10.5696 -13.4505 2.6917 Cd
-3.5232 -4.4835 0.8972 Br
```



Version B
This record from Alexandria via LeMat-Bulk describes an optimized crystal structure of Zn2CdBr. The functional is PBE.

The structure in POSCAR format:
```
Zn2CdBr
1.0
-4.3785 4.3285 -1.9053
-5.2997 1.7813 3.2057
6.3383 -0.9598 0.6641
Zn Cd Br
2 1 1
Cartesian
0.0000 0.0000 0.0000 Zn
-4.8391 3.0549 0.6502 Zn
-1.4396 3.2118 -0.2955 Cd
-1.9002 1.9382 2.2600 Br
```



The computed energies, referenced to the most stable structure and given in kJ/mol of atoms, are version A 0.0; version B 15.6.



Version A
This record from Alexandria via LeMat-Bulk describes an optimized crystal structure of Zn2CdBr. The functional is PBE.

The structure in POSCAR format:
```
Zn2CdBr
1.0
-2.6310 -2.0187 -0.6179
1.3573 -0.8613 -2.9656
3.6442 -5.7734 3.3447
Br Zn Cd
1 2 1
Cartesian
0.2742 -2.8833 -0.9556 Br
1.8503 -2.9314 1.6982 Zn
3.6160 -5.7288 3.3188 Zn
2.0964 -5.7700 0.7168 Cd
```



Version B
This record from Alexandria via LeMat-Bulk describes an optimized crystal structure of Zn2CdBr. The functional is PBE.

The structure in POSCAR format:
```
Zn2CdBr
1.0
-5.4173 1.5814 -3.4515
-6.2230 0.7993 2.0968
6.3281 1.5557 1.1382
Zn Cd Br
2 1 1
Cartesian
-2.8575 1.7727 1.2788 Zn
0.0000 0.0000 0.0000 Zn
-2.4547 2.1637 -1.4953 Cd
-5.8201 1.1903 -0.6773 Br
```



The computed energies, referenced to the most stable structure and given in kJ/mol of atoms, are version A 0.0; version B 5.4.



Version A
This record from Alexandria via LeMat-Bulk describes an optimized crystal structure of Zn2CdBr. The functional is PBE.

The structure in POSCAR format:
```
Zn2CdBr
1.0
5.2607 0.0205 0.0008
-1.7199 4.9717 0.0008
0.8832 1.2453 3.5930
Zn Cd Br
2 1 1
Cartesian
0.0000 0.0000 0.0000 Zn
1.7704 2.4961 0.0008 Zn
-0.4183 3.1085 1.7969 Cd
3.0720 0.6329 1.7969 Br
```



Version B
This record from Alexandria via LeMat-Bulk describes an optimized crystal structure of Zn2CdBr. The functional is PBE.

The structure in POSCAR format:
```
Zn2CdBr
1.0
5.1514 -0.0277 0.0000
-1.8324 4.8145 0.0000
0.0000 0.0000 3.6597
Br Zn Cd
1 2 1
Cartesian
2.5757 -0.0139 1.8299 Br
0.0000 0.0000 0.0000 Zn
1.6595 2.3934 0.0000 Zn
-0.9162 2.4073 1.8299 Cd
```



The computed energies, referenced to the most stable structure and given in kJ/mol of atoms, are version A 0.0; version B 3.1.



Version A
This record from Alexandria via LeMat-Bulk describes an optimized crystal structure of Zn2CdBr. The functional is PBE.

The structure in POSCAR format:
```
Zn2CdBr
1.0
5.1114 -0.0196 0.3205
3.7946 3.4246 0.3205
4.2697 1.6324 6.1951
Br Zn Cd
1 2 1
Cartesian
9.8818 3.7781 5.1271 Br
0.7533 0.2880 0.7018 Zn
5.8345 2.2307 2.7163 Zn
3.2939 1.2594 1.7090 Cd
```



Version B
This record from Alexandria via LeMat-Bulk describes an optimized crystal structure of Zn2CdBr. The functional is PBE.

The structure in POSCAR format:
```
Zn2CdBr
1.0
0.0000 3.6422 3.6422
3.6422 0.0000 3.6422
3.6422 3.6422 0.0000
Zn Cd Br
2 1 1
Cartesian
1.8211 1.8211 1.8211 Zn
5.4633 5.4633 5.4633 Zn
3.6422 3.6422 3.6422 Cd
0.0000 0.0000 0.0000 Br
```



Version C
This record from Alexandria via LeMat-Bulk describes an optimized crystal structure of Zn2CdBr. The functional is PBE.

The structure in POSCAR format:
```
Zn2CdBr
1.0
-0.1988 0.8754 -3.3518
1.7090 -2.9908 0.4184
-6.9202 -4.0448 -0.6460
Zn Br Cd
2 1 1
Cartesian
-0.8562 -1.9995 -1.6171 Zn
-0.1506 -0.0881 -0.0141 Zn
-3.2595 -1.9052 -0.3043 Br
-4.6037 -4.1899 -1.9670 Cd
```



The computed energies, referenced to the most stable structure and given in kJ/mol of atoms, are version A 0.0; version B 27.1; version C 5.6.



Version A
This record from Alexandria via LeMat-Bulk describes an optimized crystal structure of Zn2CdBr. The functional is PBE.

The structure in POSCAR format:
```
Zn2CdBr
1.0
-3.0318 -1.4065 1.4278
3.1270 -1.8285 0.2965
1.5783 3.8591 7.1529
Zn Br Cd
2 1 1
Cartesian
1.5764 3.8544 7.1443 Zn
0.7911 1.9342 3.5852 Zn
0.4421 -0.6528 2.6504 Br
1.2313 1.2768 6.2269 Cd
```



Version B
This record from Alexandria via LeMat-Bulk describes an optimized crystal structure of Zn2CdBr. The functional is PBE.

The structure in POSCAR format:
```
Zn2CdBr
1.0
-1.8231 3.3265 -2.7632
-2.6406 -1.2000 -3.6895
-7.7288 1.6093 -1.0435
Br Zn Cd
1 2 1
Cartesian
-5.3901 1.5307 -2.7233 Br
-3.4773 1.5402 -4.4579 Zn
-7.7064 1.7124 -1.5673 Zn
-9.4437 2.4297 -3.5391 Cd
```



Version C
This record from Alexandria via LeMat-Bulk describes an optimized crystal structure of Zn2CdBr. The functional is PBE.

The structure in POSCAR format:
```
Zn2CdBr
1.0
-2.1073 -1.6227 -1.9812
-0.6522 -2.1414 2.4476
-5.7921 4.5481 2.4357
Br Zn Cd
1 2 1
Cartesian
-2.7102 2.1281 1.1397 Br
-2.6878 -0.8550 0.7832 Zn
-0.1511 0.1187 0.0635 Zn
-5.8986 1.6662 2.1334 Cd
```



Version D
This record from Alexandria via LeMat-Bulk describes an optimized crystal structure of Zn2CdBr. The functional is PBE.

The structure in POSCAR format:
```
Zn2CdBr
1.0
3.5224 0.0000 0.0000
0.0000 4.7097 0.0000
0.0000 0.0000 5.7365
Zn Br Cd
2 1 1
Cartesian
0.0000 0.0000 0.0000 Zn
1.7612 2.3548 0.0000 Zn
1.7612 0.0000 2.8683 Br
0.0000 2.3548 2.8683 Cd
```



The computed energies, referenced to the most stable structure and given in kJ/mol of atoms, are version A 18.2; version B 0.0; version C 18.7; version D 29.7.



Version A
This record from Alexandria via LeMat-Bulk describes an optimized crystal structure of Zn2CdBr. The functional is PBE.

The structure in POSCAR format:
```
Zn2CdBr
1.0
-2.5135 2.2399 0.6032
-0.5662 -1.4222 2.9215
5.1145 4.8342 3.3604
Br Zn Cd
1 2 1
Cartesian
2.1162 1.5596 3.0265 Br
-0.4518 1.4367 2.4791 Zn
0.1336 0.1257 0.0898 Zn
2.5111 4.2360 4.4307 Cd
```



Version B
This record from Alexandria via LeMat-Bulk describes an optimized crystal structure of Zn2CdBr. The functional is PBE.

The structure in POSCAR format:
```
Zn2CdBr
1.0
-7.2345 2.2569 3.1302
-6.2626 -0.4556 5.2728
-4.9783 2.8456 5.8608
Cd Zn Br
1 2 1
Cartesian
-13.6823 3.4413 10.5633 Cd
-4.7253 1.1885 3.6481 Zn
-18.3280 4.6098 14.1499 Zn
-9.4529 2.3776 7.2980 Br
```



The computed energies, referenced to the most stable structure and given in kJ/mol of atoms, are version A 3.8; version B 0.0.



Version A
This record from Alexandria via LeMat-Bulk describes an optimized crystal structure of Zn2CdBr. The functional is PBE.

The structure in POSCAR format:
```
Zn2CdBr
1.0
-0.2960 -5.5335 0.6245
5.3229 -1.3151 -1.0173
-3.1498 2.7572 3.6844
Cd Zn Br
1 2 1
Cartesian
-0.4661 -3.1003 2.0562 Cd
2.5295 -3.4462 -0.1977 Zn
5.0108 -6.8267 -0.3916 Zn
2.3433 -0.9911 1.2353 Br
```



Version B
This record from Alexandria via LeMat-Bulk describes an optimized crystal structure of Zn2CdBr. The functional is PBE.

The structure in POSCAR format:
```
Zn2CdBr
1.0
5.1547 0.0000 0.0000
2.5774 4.4641 0.0000
2.5774 1.4880 4.2088
Br Zn Cd
1 2 1
Cartesian
5.1547 2.9761 2.1044 Br
0.0000 0.0000 0.0000 Zn
2.5774 1.4880 1.0522 Zn
7.7321 4.4641 3.1566 Cd
```



Version C
This record from Alexandria via LeMat-Bulk describes an optimized crystal structure of Zn2CdBr. The functional is PBE.

The structure in POSCAR format:
```
Zn2CdBr
1.0
7.7290 0.0000 0.0000
0.0000 7.7290 0.0000
3.8645 3.8645 3.1552
Cd Zn Br
2 4 2
Cartesian
0.0000 0.0000 0.0000 Cd
7.7290 3.8645 1.5776 Cd
9.6612 9.7399 2.3664 Zn
5.7967 5.7181 2.3664 Zn
1.8536 5.7967 0.7888 Zn
5.8754 1.9322 0.7888 Zn
3.8645 7.7290 1.5776 Br
3.8645 3.8645 0.0000 Br
```



Version D
This record from Alexandria via LeMat-Bulk describes an optimized crystal structure of Zn2CdBr. The functional is PBE.

The structure in POSCAR format:
```
Zn2CdBr
1.0
-1.6661 -2.6791 -1.3541
2.7556 -1.8896 0.3480
-2.3237 -2.1012 7.0162
Br Zn Cd
1 2 1
Cartesian
-0.7251 -2.3373 1.1640 Br
-1.5775 -2.5189 6.9245 Zn
-0.5302 -1.5777 3.7738 Zn
-0.5091 -4.3327 4.8461 Cd
```



The computed energies, referenced to the most stable structure and given in kJ/mol of atoms, are version A 6.6; version B 24.6; version C 3.2; version D 0.0.



Version A
This record from Alexandria via LeMat-Bulk describes an optimized crystal structure of ZnCdBr4. The functional is PBE.

The structure in POSCAR format:
```
ZnCdBr4
1.0
-0.5744 2.4630 5.8927
0.1805 6.3532 0.8512
-5.3274 3.1670 1.6460
Br Cd Zn
4 1 1
Cartesian
-2.4317 5.7245 6.0973 Br
-2.0533 7.6744 3.5703 Br
-4.8140 6.0773 3.9687 Br
-2.1437 4.4899 3.1436 Br
-4.2910 8.9873 6.2924 Cd
0.0000 0.0000 0.0000 Zn
```



Version B
This record from Alexandria via LeMat-Bulk describes an optimized crystal structure of ZnCdBr4. The functional is PBE.

The structure in POSCAR format:
```
ZnCdBr4
1.0
3.9071 0.0000 0.0000
0.0000 6.8336 0.0262
0.0000 -0.1097 13.7397
Br Zn Cd
8 2 2
Cartesian
0.0004 2.1516 1.5665 Br
1.9541 5.7751 1.5283 Br
0.0006 4.4204 5.3810 Br
3.9065 2.3034 8.3849 Br
1.9532 5.5135 8.4493 Br
1.9530 0.9488 12.2376 Br
3.9067 4.5723 12.1994 Br
1.9539 1.2104 5.3166 Br
1.9535 3.3619 6.8829 Zn
0.0000 0.0000 0.0000 Zn
1.9535 3.4168 0.0131 Cd
0.0000 -0.0549 6.8698 Cd
```



The computed energies, referenced to the most stable structure and given in kJ/mol of atoms, are version A 127.6; version B 0.0.



Version A
This record from Alexandria via LeMat-Bulk describes an optimized crystal structure of ZnCd3Br. The functional is PBE.

The structure in POSCAR format:
```
ZnCd3Br
1.0
5.2306 0.0000 0.0000
0.0000 5.2306 0.0000
0.0000 0.0000 5.2306
Cd Br Zn
3 1 1
Cartesian
0.0000 2.6153 0.0000 Cd
0.0000 0.0000 2.6153 Cd
2.6153 0.0000 0.0000 Cd
2.6153 2.6153 2.6153 Br
0.0000 0.0000 0.0000 Zn
```



Version B
This record from Alexandria via LeMat-Bulk describes an optimized crystal structure of ZnCd3Br. The functional is PBE.

The structure in POSCAR format:
```
ZnCd3Br
1.0
-4.8282 0.4804 3.7732
1.7270 -5.1557 2.8663
3.3890 3.3117 3.9150
Br Cd Zn
1 3 1
Cartesian
0.0000 0.0000 0.0000 Br
1.6945 1.6559 1.9575 Cd
-2.4141 0.2402 1.8866 Cd
0.8635 -2.5779 1.4331 Cd
0.1439 -0.6818 5.2772 Zn
```



The computed energies, referenced to the most stable structure and given in kJ/mol of atoms, are version A 0.0; version B 49.8.